No. 1
Computed, not measured: crystalline Hg4Rh at its relaxed geometry at the PBE-GGA level of DFT.

Structure (extended XYZ):
```
5
Lattice="-4.2881 4.2881 1.5430 4.2881 -4.2881 1.5430 4.2881 4.2881 -1.5430" Properties=species:S:1:pos:R:3 pbc="T T T"
Hg 2.3492 0.0000 0.0000
Hg 6.2270 0.0000 0.0000
Hg 0.0000 2.3492 0.0000
Hg 0.0000 6.2270 0.0000
Rh 0.0000 0.0000 1.5430
```

Computed properties:
**Calculated density**: 13.25 g/cm³
**Density of states at the Fermi level**: 1.68 states/eV per cell
**DFT formation energy**: 107 meV/atom
**Space-group type**: I4/mmm, No. 139


No. 2
Computed, not measured: crystalline Hg2Rh at its relaxed geometry at the PBE-GGA level of DFT.

Structure (extended XYZ):
```
12
Lattice="5.7991 0.0000 0.0000 0.0000 4.4667 0.0000 0.0000 0.0000 8.8232" Properties=species:S:1:pos:R:3 pbc="T T T"
Hg 0.5676 1.1167 1.8794
Hg 0.9474 1.1167 4.8784
Hg 1.9521 3.3500 0.4668
Hg 2.3319 3.3500 6.2911
Hg 3.4672 1.1167 2.5322
Hg 3.8470 1.1167 8.3564
Hg 4.8517 3.3500 3.9448
Hg 5.2315 3.3500 6.9438
Rh 0.9645 1.1167 7.7107
Rh 1.9351 3.3500 3.2991
Rh 3.8641 1.1167 5.5242
Rh 4.8346 3.3500 1.1126
```

Computed properties:
**Calculated density**: 14.65 g/cm³
**Density of states at the Fermi level**: 6.19 states/eV per cell
**DFT formation energy**: 176 meV/atom
**Space-group type**: Pnma, No. 62


No. 3
Computed, not measured: crystalline HgRh7 at its relaxed geometry at the PBE-GGA level of DFT.

Structure (extended XYZ):
```
8
Lattice="0.0000 3.9077 3.9077 3.9077 0.0000 3.9077 3.9077 3.9077 0.0000" Properties=species:S:1:pos:R:3 pbc="T T T"
Hg 0.0000 0.0000 0.0000
Rh 1.9538 1.9538 0.0000
Rh 1.9538 0.0000 1.9538
Rh 3.9077 1.9538 1.9538
Rh 0.0000 1.9538 1.9538
Rh 1.9538 3.9077 1.9538
Rh 1.9538 1.9538 3.9077
Rh 3.9077 3.9077 3.9077
```

Computed properties:
**Calculated density**: 12.81 g/cm³
**Density of states at the Fermi level**: 8.36 states/eV per cell
**DFT formation energy**: 130 meV/atom
**Space-group type**: Fm-3m, No. 225